(1)
## KY4Ta (GGA-PBEsol)

Data for a relaxed structure of KY4Ta.

Cell: 6.3649 6.3649 6.3649 Å, 60.00 60.00 60.00°
Last column: nearest neighbours and their distance in Å.
Element x y z (fractional)
K (0.0000, 0.0000, 0.0000)  12 Y 3.74, 4 Ta 3.90
Y (0.3788, 0.3788, 0.3788)  6 Y 3.09-3.28
Y (0.3788, 0.3788, 0.8636)  6 Y 3.09-3.28
Y (0.3788, 0.8636, 0.3788)  6 Y 3.09-3.28
Y (0.8636, 0.3788, 0.3788)  6 Y 3.09-3.28
Ta (0.7500, 0.7500, 0.7500)  12 Y 3.72, 4 K 3.90

Calculated values
Electronic total energy: -34.9 eV/f.u.
E_form: 1006 meV/atom

(2)
## Ho3AlNi8 (GGA-PBEsol)

Data for a relaxed structure of Ho3AlNi8.

Cell: 4.9635 4.9635 15.7681 Å, 90.00 90.00 120.00°
Last column: nearest neighbours and their distance in Å.
Element x y z (fractional)
Ho (0.3333, 0.6667, 0.0457)  9 Ni 2.78-3.05, 3 Al 2.95
Ho (0.3333, 0.6667, 0.2500)  18 Ni 2.87-3.17
Ho (0.3333, 0.6667, 0.4543)  9 Ni 2.78-3.05, 3 Al 2.95
Ho (0.6667, 0.3333, 0.5457)  9 Ni 2.78-3.05, 3 Al 2.95
Ho (0.6667, 0.3333, 0.7500)  18 Ni 2.87-3.17
Ho (0.6667, 0.3333, 0.9543)  9 Ni 2.78-3.05, 3 Al 2.95
Al (0.0000, 0.0000, 0.0000)  6 Ni 2.45
Al (0.0000, 0.0000, 0.5000)  6 Ni 2.45
Ni (0.0000, 0.0000, 0.2500)  6 Ni 2.44
Ni (0.0000, 0.0000, 0.7500)  6 Ni 2.44
Ni (0.1689, 0.3379, 0.6254)  6 Ni 2.42-2.52, 1 Al 2.45
Ni (0.1689, 0.3379, 0.8746)  6 Ni 2.42-2.52, 1 Al 2.45
Ni (0.1689, 0.8311, 0.6254)  6 Ni 2.42-2.52, 1 Al 2.45
Ni (0.1689, 0.8311, 0.8746)  6 Ni 2.42-2.52, 1 Al 2.45
Ni (0.3333, 0.6667, 0.7500)  6 Ni 2.42
Ni (0.3379, 0.1689, 0.1254)  6 Ni 2.42-2.52, 1 Al 2.45
Ni (0.3379, 0.1689, 0.3746)  6 Ni 2.42-2.52, 1 Al 2.45
Ni (0.6621, 0.8311, 0.6254)  6 Ni 2.42-2.52, 1 Al 2.45
Ni (0.6621, 0.8311, 0.8746)  6 Ni 2.42-2.52, 1 Al 2.45
Ni (0.6667, 0.3333, 0.2500)  6 Ni 2.42
Ni (0.8311, 0.1689, 0.1254)  6 Ni 2.42-2.52, 1 Al 2.45
Ni (0.8311, 0.1689, 0.3746)  6 Ni 2.42-2.52, 1 Al 2.45
Ni (0.8311, 0.6621, 0.1254)  6 Ni 2.42-2.52, 1 Al 2.45
Ni (0.8311, 0.6621, 0.3746)  6 Ni 2.42-2.52, 1 Al 2.45

Calculated values
Electronic total energy: -73.8 eV/f.u.
E_form: -469 meV/atom

Number 1: magnetization 0.262 μB per atom. Number 2: magnetization 0.000 μB per atom.